Entry from OQMD via LeMat-Bulk: a relaxed structure of TbZn (PBE).

crystal system = orthorhombic
formation energy from the elements = -298 meV/atom
calculated volume = 185 Å³ per cell
uncorrected energy = -0.1192 hartree per atom
magnetization = 0.0 μB/f.u.

a = 6.6098 Å, b = 4.5920 Å, c = 6.1074 Å
α = 90.00°, β = 90.00°, γ = 90.00°
Space group Pnma (No. 62)
Asymmetric unit:
Tb: 0.1581 0.2500 0.1340 x4
Zn: 0.0524 0.2500 0.6260 x4


Entry from OQMD via LeMat-Bulk: a relaxed structure of TbZr (PBE).

crystal system = orthorhombic
formation energy from the elements = 87 meV/atom
calculated volume = 109 Å³ per cell
uncorrected energy = -0.2389 hartree per atom
energy above the lowest structure with this stoichiometry = 7 kJ/mol of formula units
magnetization = 0.0 μB/f.u.

a = 5.3776 Å, b = 3.3672 Å, c = 5.9955 Å
α = 90.00°, β = 90.00°, γ = 90.00°
Space group Pmma (No. 51)
Asymmetric unit:
Tb: 0.2500 0.0000 0.1660 x2
Zr: 0.2500 0.5000 0.6381 x2


Entry from OQMD via LeMat-Bulk: a relaxed structure of TbZr (PBE).

crystal system = cubic
formation energy from the elements = 973 meV/atom
calculated volume = 227 Å³ per cell
uncorrected energy = -0.2063 hartree per atom
energy above the lowest structure with this stoichiometry = 177 kJ/mol of formula units
magnetization = 0.0 μB/f.u.

a = 6.0982 Å, b = 6.0982 Å, c = 6.0982 Å
α = 90.00°, β = 90.00°, γ = 90.00°
Space group Fm-3m (No. 225)
Asymmetric unit:
Tb: 0.0000 0.0000 0.0000 x4
Zr: 0.0000 0.0000 0.5000 x4


Entry from OQMD via LeMat-Bulk: a relaxed structure of TbZr (PBE).

crystal system = orthorhombic
formation energy from the elements = 78 meV/atom
calculated volume = 326 Å³ per cell
uncorrected energy = -0.2392 hartree per atom
energy above the lowest structure with this stoichiometry = 5 kJ/mol of formula units
magnetization = 0.0 μB/f.u.

a = 5.3723 Å, b = 10.3353 Å, c = 5.8646 Å
α = 90.00°, β = 90.00°, γ = 90.00°
Space group Pmc2_1 (No. 26)
Asymmetric unit:
Tb: 0.0000 0.0824 0.0000 x2
Tb: 0.0000 0.4072 0.0263 x2
Tb: 0.5000 0.4007 0.6654 x2
Zr: 0.0000 0.2415 0.5022 x2
Zr: 0.5000 0.0864 0.6666 x2
Zr: 0.5000 0.2323 0.1954 x2


Entry from OQMD via LeMat-Bulk: a relaxed structure of TbZr (PBE).

crystal system = orthorhombic
formation energy from the elements = 70 meV/atom
calculated volume = 544 Å³ per cell
uncorrected energy = -0.2396 hartree per atom
energy above the lowest structure with this stoichiometry = 3 kJ/mol of formula units
magnetization = 0.0 μB/f.u.

a = 5.3788 Å, b = 17.1967 Å, c = 5.8832 Å
α = 90.00°, β = 90.00°, γ = 90.00°
Space group Amm2 (No. 38)
Asymmetric unit:
Tb: 0.0000 0.0000 0.0000 x2
Tb: 0.0000 0.1954 0.0339 x4
Tb: 0.5000 0.1900 0.6756 x4
Zr: 0.0000 0.0910 0.5064 x4
Zr: 0.5000 0.0000 0.6741 x2
Zr: 0.5000 0.0920 0.2049 x4


Entry from OQMD via LeMat-Bulk: a relaxed structure of Tb2Zr (PBE).

crystal system = cubic
formation energy from the elements = 2362 meV/atom
calculated volume = 1750 Å³ per cell
uncorrected energy = -0.1313 hartree per atom
energy above the lowest structure with this stoichiometry = 654 kJ/mol of formula units
magnetization = 0.0 μB/f.u.

a = 12.0508 Å, b = 12.0508 Å, c = 12.0508 Å
α = 90.00°, β = 90.00°, γ = 90.00°
Space group Fd-3m (No. 227, origin choice 2)
Asymmetric unit:
Tb: 0.0000 0.0000 0.0000 x16
Zr: 0.1250 0.1250 0.1250 x8